No. 1
The following is a GGA+U calculation of a relaxed structure of Ba3Be2VO6, from the Alexandria database.

calculated total energy = -6.601 eV/atom
magnetization = 3.0 μB/f.u.

Cell lengths 5.7220, 5.7220, 6.8346 Å; angles 90.00, 90.00, 120.00 degrees
Closest atoms and distances in Å follow each position.
Fractional positions:
O 0.3556 0.1778 0.7031  1 Be 1.55
O 0.8222 0.1778 0.7031  1 Be 1.55
O 0.6444 0.8222 0.2969  1 Be 1.55
O 0.1778 0.3556 0.2969  1 Be 1.55
O 0.8222 0.6444 0.7031  1 Be 1.55
O 0.1778 0.8222 0.2969  1 Be 1.55
V 0.0000 0.0000 0.5000  6 O 2.24
Be 0.6667 0.3333 0.7272  3 O 1.55
Be 0.3333 0.6667 0.2728  3 O 1.55
Ba 0.6667 0.3333 0.3266  1 Be 2.74, 9 O 2.87-3.00
Ba 0.0000 0.0000 0.0000  6 O 2.69
Ba 0.3333 0.6667 0.6734  1 Be 2.74, 9 O 2.87-3.00

No. 2
The following is a GGA+U calculation of a relaxed structure of BaBe4V3O12, from the Alexandria database.

calculated total energy = -7.147 eV/atom
magnetization = 1.0 μB/f.u.

Cell lengths 6.3096, 6.3096, 6.3096 Å; angles 105.64, 105.64, 105.64 degrees
Closest atoms and distances in Å follow each position.
Fractional positions:
Be 0.5000 0.5000 0.5000  3 O 1.59
Be 0.0602 0.5000 0.9398  3 O 1.54-1.55
Be 0.5000 0.9398 0.0602  3 O 1.54-1.55
Be 0.9398 0.0602 0.5000  3 O 1.54-1.55
O 0.2516 0.3885 0.9713  1 Be 1.55
O 0.5000 0.0932 0.9068  1 Be 1.54
O 0.6576 0.5000 0.3424  1 Be 1.59
O 0.9068 0.5000 0.0932  1 Be 1.54
O 0.0287 0.6115 0.7484  1 Be 1.55
O 0.0932 0.9068 0.5000  1 Be 1.54
O 0.7484 0.0287 0.6115  1 Be 1.55
O 0.3885 0.9713 0.2516  1 Be 1.55
O 0.9713 0.2516 0.3885  1 Be 1.55
O 0.6115 0.7484 0.0287  1 Be 1.55
O 0.3424 0.6576 0.5000  1 Be 1.59
O 0.5000 0.3424 0.6576  1 Be 1.59
V 0.0000 0.5552 0.4448  4 O 1.80-1.98
V 0.5552 0.4448 0.0000  4 O 1.80-1.98
V 0.4448 0.0000 0.5552  4 O 1.80-1.98
Ba 0.0000 0.0000 0.0000  6 O 2.62

No. 3
The following is a GGA+U calculation of a relaxed structure of Ba2Be2VO6, from the Alexandria database.

calculated total energy = -6.932 eV/atom
magnetization = 1.0 μB/f.u.

Cell lengths 5.4778, 5.4778, 6.2703 Å; angles 64.10, 64.10, 60.00 degrees
Closest atoms and distances in Å follow each position.
Fractional positions:
O 0.7584 0.7584 0.2155  1 Be 1.55
O 0.2677 0.7584 0.2155  1 Be 1.55
O 0.7584 0.2677 0.2155  1 Be 1.55
O 0.2416 0.2416 0.7845  1 Be 1.55
O 0.2416 0.7323 0.7845  1 Be 1.55
O 0.7323 0.2416 0.7845  1 Be 1.55
Be 0.4076 0.4076 0.7773  3 O 1.55
Be 0.5924 0.5924 0.2227  3 O 1.55
Ba 0.7762 0.7762 0.6715  9 O 2.81-2.95, 1 Be 2.98
Ba 0.2238 0.2238 0.3285  9 O 2.81-2.95, 1 Be 2.98
V 0.0000 0.0000 0.0000  6 O 1.99